(1)
The following is a DFT calculation (PBE) of Al2InO4 after structural relaxation.

Cell: 4.308 4.308 5.320 Å, 90.00 90.00 90.00°
Fractional positions:
Al  0.500  0.000  0.500
Al  0.000  0.500  0.500
In  0.000  0.000  0.000
O  0.751  0.249  0.681
O  0.249  0.249  0.319
O  0.249  0.751  0.681
O  0.751  0.751  0.319

Properties
ΔE_f (raw): -216.52 kJ/mol of atoms
DOS(E_F): 0.43 states/eV/atom
VASP energy: -6.538 eV per atom
space group: P-42m, No. 111
excess energy over the best structure of this formula in the dataset: 58 meV per atom

(2)
The following is a DFT calculation (PBE) of AlInO3 after structural relaxation.

Cell: 3.678 3.678 3.678 Å, 90.00 90.00 90.00°
Fractional positions:
Al  0.000  0.000  0.000
O  0.000  0.500  0.000
O  0.000  0.000  0.500
O  0.500  0.000  0.000
In  0.500  0.500  0.500

Properties
ΔE_f (raw): -175.92 kJ/mol of atoms
DOS(E_F): 0.10 states/eV/atom
VASP energy: -6.094 eV per atom
space group: Pm-3m, No. 221

(3)
The following is a DFT calculation (PBE) of Al4In2O9 after structural relaxation.

Cell: 5.068 5.067 13.705 Å, 90.00 90.00 60.00°
Fractional positions:
Al  0.333  0.333  0.984
Al  0.333  0.333  0.484
Al  0.667  0.667  0.016
Al  0.333  0.333  0.187
Al  0.667  0.667  0.516
Al  0.666  0.667  0.313
Al  0.334  0.333  0.687
Al  0.667  0.667  0.813
In  0.000  0.000  0.360
In  0.000  0.000  0.140
In  0.000  0.000  0.640
In  0.000  0.000  0.860
O  0.000  0.335  0.750
O  0.336  0.665  0.750
O  0.665  0.000  0.750
O  0.000  0.665  0.250
O  0.664  0.335  0.250
O  0.335  0.000  0.250
O  0.631  0.972  0.420
O  0.972  0.396  0.420
O  0.396  0.632  0.420
O  0.604  0.028  0.080
O  0.368  0.604  0.080
O  0.027  0.368  0.080
O  0.369  0.028  0.580
O  0.028  0.604  0.580
O  0.604  0.368  0.580
O  0.396  0.972  0.920
O  0.632  0.396  0.920
O  0.973  0.632  0.920

Properties
ΔE_f (raw): -236.77 kJ/mol of atoms
DOS(E_F): 0.00 states/eV/atom
VASP energy: -6.792 eV per atom
space group: P-3c1, No. 165

(4)
The following is a DFT calculation (PBE) of Al2InO4 after structural relaxation.

Cell: 7.413 6.205 6.206 Å, 69.10 53.32 53.32°
Fractional positions:
Al  0.468  0.657  0.157
Al  0.282  0.343  0.843
Al  0.875  0.843  0.657
Al  0.375  0.157  0.343
In  0.750  0.500  0.500
In  0.000  0.000  0.000
O  0.227  0.199  0.695
O  0.628  0.196  0.699
O  0.122  0.801  0.305
O  0.574  0.304  0.199
O  0.078  0.696  0.801
O  0.523  0.804  0.301
O  0.176  0.301  0.195
O  0.672  0.699  0.805

Properties
ΔE_f (raw): -222.12 kJ/mol of atoms
DOS(E_F): 0.23 states/eV/atom
VASP energy: -6.596 eV per atom
space group: I-42d, No. 122
excess energy over the best structure of this formula in the dataset: 0 meV per atom